No. 1
Here is a geometry-optimized Ti3NbFe2P6O24 structure from Alexandria via LeMat-Bulk. Energies are from PBEsol.

Geometry as extended XYZ:
```
36
Lattice="4.358 2.516 6.750 -4.358 2.516 6.750 0.000 -5.032 6.750" Properties=species:S:1:pos:R:3 pbc="T T T"
Ti 0.000 0.000 0.000
Ti 0.000 0.000 4.513
Ti 0.000 0.000 10.142
Nb 0.000 0.000 14.684
Fe 0.000 0.000 7.292
Fe 0.000 0.000 17.400
P -1.188 -2.837 9.002
P -2.557 -0.013 12.358
P -1.863 2.448 9.002
P 1.290 -2.207 12.358
P 3.051 0.389 9.002
P 1.267 2.221 12.358
O -0.863 -3.623 7.736
O -1.558 -0.125 5.793
O -3.460 -1.261 12.182
O -0.700 -3.556 10.251
O -2.706 2.559 7.736
O -0.587 -1.420 8.819
O 0.887 -1.286 5.793
O -2.730 2.384 10.251
O -1.650 0.054 11.134
O -0.936 1.218 8.819
O 0.670 1.412 5.793
O -1.698 -0.076 13.634
O 0.778 -1.456 11.134
O -0.935 -1.338 15.952
O 1.523 0.202 8.819
O 0.915 -1.432 13.634
O 0.871 1.402 11.134
O 2.822 -2.365 12.182
O -0.692 1.479 15.952
O 3.569 1.064 7.736
O 0.783 1.508 13.634
O 0.637 3.627 12.182
O 1.626 -0.140 15.952
O 3.429 1.172 10.251
```

Output
As for the space group: R3. The raw total energy comes out at -296.73 eV/cell. The calculation puts the formation energy (no corrections) at -2285.8 meV/atom.

=====

No. 2
Here is a geometry-optimized CrCo2Mo structure from Alexandria via LeMat-Bulk. Energies are from PBEsol.

Geometry as extended XYZ:
```
4
Lattice="-1.785 1.785 3.590 1.785 -1.785 3.590 1.785 1.785 -3.590" Properties=species:S:1:pos:R:3 pbc="T T T"
Cr 0.000 0.000 0.000
Co 1.785 0.000 1.795
Co 0.000 1.785 1.795
Mo 0.000 0.000 3.590
```

Output
The value obtained for the formation energy is 0.99 kJ per mole of atoms. For the distance to the lowest polymorph of the same formula, the calculation gives 1 meV/atom. As for the space group: I4/mmm. The raw total energy comes out at -37.44 eV/cell.

=====

No. 3
Here is a geometry-optimized Zn2HgIr structure from Alexandria via LeMat-Bulk. Energies are from PBEsol.

Geometry as extended XYZ:
```
4
Lattice="0.000 3.137 3.137 3.137 0.000 3.137 3.137 3.137 0.000" Properties=species:S:1:pos:R:3 pbc="T T T"
Zn 0.000 0.000 0.000
Zn 1.569 1.569 1.569
Hg 4.706 4.706 4.706
Ir 3.137 3.137 3.137
```

Output
The value obtained for the formation energy is 17.06 kJ per mole of atoms. As for the space group: F-43m. The raw total energy comes out at -12.85 eV/cell.

=====

No. 4
Here is a geometry-optimized BaZn2Mo2 structure from Alexandria via LeMat-Bulk. Energies are from PBEsol.

Geometry as extended XYZ:
```
5
Lattice="-1.893 1.893 7.100 1.893 -1.893 7.100 1.893 1.893 -7.100" Properties=species:S:1:pos:R:3 pbc="T T T"
Ba 0.000 0.000 0.000
Zn 0.000 0.000 5.435
Zn 0.000 0.000 8.766
Mo 1.893 0.000 3.550
Mo 0.000 1.893 3.550
```

Output
The value obtained for the formation energy is 40.50 kJ per mole of atoms. As for the space group: I4/mmm. The raw total energy comes out at -26.75 eV/cell.